First-principles (SCAN) data for a PBEsol-optimized structure of Be2TlBiSb, as listed in Alexandria.

The structure in extended XYZ format:
```
5
Lattice="4.532 0.000 0.000 0.000 4.532 0.000 0.000 0.000 6.140" Properties=species:S:1:pos:R:3 pbc="T T T"
Sb 0.000 0.000 3.070
Tl 0.000 0.000 0.000
Bi 2.266 2.266 3.070
Be 0.000 2.266 0.000
Be 2.266 0.000 0.000
```

Output
The space-group type is P4/mmm, No. 123. The uncorrected formation energy is 0.817 eV per atom.